*one*
# TiHS3

An optimized crystal structure of TiHS3 (PBE, the Alexandria database).

a = 4.0426 Å, b = 4.0426 Å, c = 4.0426 Å
α = 90.00°, β = 90.00°, γ = 90.00°
Atoms (fractional coordinates):
H  0.0000  0.0000  0.0000
S  0.0000  0.5000  0.0000
S  0.0000  0.0000  0.5000
S  0.5000  0.0000  0.0000
Ti  0.5000  0.5000  0.5000


*two*
# TiHS3

An optimized crystal structure of TiHS3 (PBE, the Alexandria database).

a = 5.7930 Å, b = 9.3754 Å, c = 9.3754 Å
α = 65.07°, β = 64.50°, γ = 64.50°
Atoms (fractional coordinates):
Ti  0.7500  0.2444  0.7556
Ti  0.2500  0.0973  0.9027
Ti  0.7500  0.9027  0.0973
Ti  0.2500  0.7556  0.2444
H  0.4607  0.3778  0.2209
H  0.9607  0.2209  0.3778
H  0.0393  0.7791  0.6222
H  0.5393  0.6222  0.7791
S  0.3213  0.4284  0.3600
S  0.7309  0.9815  0.8038
S  0.8213  0.3600  0.4284
S  0.1787  0.6400  0.5716
S  0.7817  0.8668  0.3475
S  0.2309  0.8038  0.9815
S  0.6787  0.5716  0.6400
S  0.7691  0.1962  0.0185
S  0.2691  0.0185  0.1962
S  0.2817  0.3475  0.8668
S  0.2183  0.1332  0.6525
S  0.7183  0.6525  0.1332


Which of them is the least stable? Correct choice: *one*.